H3RuO: relaxed, PBE.

Geometry as CIF:
```
data_H3RuO
_symmetry_space_group_name_H-M 'P m -3 m'
_symmetry_Int_Tables_number 221
_symmetry_space_group_name_Hall '-P 4 2 3'
_cell_length_a 3.393
_cell_length_b 3.393
_cell_length_c 3.393
_cell_angle_alpha 90.00
_cell_angle_beta 90.00
_cell_angle_gamma 90.00
loop_
_atom_site_label
_atom_site_fract_x
_atom_site_fract_y
_atom_site_fract_z
H1 0.000 0.000 0.500
Ru1 0.000 0.000 0.000
O1 0.500 0.500 0.500
```

The energy above the most stable polymorph in this dataset comes out at 0.0000 eV/atom. The density of states at the Fermi level is 0.1987 states/eV per atom. The mass density comes out at 5.105 Mg/m³. Its volume is 7.8 Å³/atom. The spin magnetization is 2.93 μB/cell.